No. 1
The following is a DFT calculation (PBE-GGA) of crystalline Pm2Zn3Au5 at its relaxed geometry.

Properties
DFT total energy = -3.4988 eV/atom

a = 8.9835 Å, b = 8.9835 Å, c = 8.9835 Å
α = 106.89°, β = 85.24°, γ = 142.41°
Positions (direct):
Pm  0.1443  0.2193  0.3636
Pm  0.3557  0.7193  0.0750
Pm  0.6443  0.2807  0.9250
Pm  0.8557  0.7807  0.6364
Zn  0.1494  0.9082  0.0576
Zn  0.2500  0.7500  0.5000
Zn  0.3506  0.4082  0.7588
Zn  0.6494  0.5918  0.2412
Zn  0.7500  0.2500  0.5000
Zn  0.8506  0.0918  0.9424
Au  0.0447  0.7500  0.2947
Au  0.0824  0.6851  0.7675
Au  0.2500  0.2500  0.0000
Au  0.4176  0.1851  0.6027
Au  0.4553  0.7500  0.7053
Au  0.5447  0.2500  0.2947
Au  0.5824  0.8149  0.3973
Au  0.7500  0.7500  0.0000
Au  0.9176  0.3149  0.2325
Au  0.9553  0.2500  0.7053

***

No. 2
The following is a DFT calculation (PBE-GGA) of crystalline Pm4ZnAu at its relaxed geometry.

Properties
DFT total energy = -4.1049 eV/atom

a = 5.0670 Å, b = 5.0670 Å, c = 7.2286 Å
α = 90.00°, β = 90.00°, γ = 90.00°
Positions (direct):
Pm  0.0000  0.5000  0.2484
Pm  0.0000  0.5000  0.7516
Pm  0.5000  0.0000  0.2484
Pm  0.5000  0.0000  0.7516
Zn  0.0000  0.0000  0.0000
Au  0.5000  0.5000  0.5000

***

No. 3
The following is a DFT calculation (PBE-GGA) of crystalline PmZn11Au at its relaxed geometry.

Properties
DFT total energy = -1.9109 eV/atom

a = 6.8844 Å, b = 6.8844 Å, c = 6.8395 Å
α = 98.50°, β = 98.50°, γ = 134.47°
Positions (direct):
Pm  0.0000  0.0000  0.0000
Zn  0.0000  0.5000  0.0000
Zn  0.0006  0.3590  0.3529
Zn  0.2869  0.5093  0.7839
Zn  0.3590  0.0006  0.3529
Zn  0.4907  0.7131  0.2161
Zn  0.5000  0.0000  0.0000
Zn  0.5000  0.5000  0.5000
Zn  0.5093  0.2869  0.7839
Zn  0.6410  0.9994  0.6471
Zn  0.7131  0.4907  0.2161
Zn  0.9994  0.6410  0.6471
Au  0.0000  0.0000  0.5000

***

No. 4
The following is a DFT calculation (PBE-GGA) of crystalline Pm2Zn6Au3 at its relaxed geometry.

Properties
DFT total energy = -2.8656 eV/atom

a = 7.8037 Å, b = 7.8037 Å, c = 4.1602 Å
α = 90.00°, β = 90.00°, γ = 120.00°
Positions (direct):
Pm  0.3333  0.6667  0.0000
Pm  0.6667  0.3333  0.0000
Zn  0.0000  0.1890  0.0000
Zn  0.0000  0.7304  0.5000
Zn  0.1890  0.0000  0.0000
Zn  0.2696  0.2696  0.5000
Zn  0.7304  0.0000  0.5000
Zn  0.8110  0.8110  0.0000
Au  0.0000  0.3973  0.5000
Au  0.3973  0.0000  0.5000
Au  0.6027  0.6027  0.5000

***

No. 5
The following is a DFT calculation (PBE-GGA) of crystalline PmZnAu at its relaxed geometry.

Properties
DFT total energy = -3.7539 eV/atom

a = 4.6319 Å, b = 4.6319 Å, c = 7.1094 Å
α = 90.00°, β = 90.00°, γ = 120.00°
Positions (direct):
Pm  0.0000  0.0000  0.0000
Pm  0.0000  0.0000  0.5000
Zn  0.3333  0.6667  0.2500
Zn  0.6667  0.3333  0.7500
Au  0.3333  0.6667  0.7500
Au  0.6667  0.3333  0.2500

***

No. 6
The following is a DFT calculation (PBE-GGA) of crystalline Pm4Zn5Au2 at its relaxed geometry.

Properties
DFT total energy = -3.3110 eV/atom

a = 7.2200 Å, b = 3.7934 Å, c = 9.4261 Å
α = 90.00°, β = 93.37°, γ = 90.00°
Positions (direct):
Pm  0.1824  0.0000  0.3834
Pm  0.2611  0.0000  0.9357
Pm  0.7389  0.0000  0.0643
Pm  0.8176  0.0000  0.6166
Zn  0.2058  0.5000  0.6573
Zn  0.4498  0.5000  0.2099
Zn  0.5000  0.5000  0.5000
Zn  0.5502  0.5000  0.7901
Zn  0.7942  0.5000  0.3427
Au  0.0701  0.5000  0.1451
Au  0.9299  0.5000  0.8549

***

No. 7
The following is a DFT calculation (PBE-GGA) of crystalline Pm3Zn7Au4 at its relaxed geometry.

Properties
DFT total energy = -3.1104 eV/atom

a = 8.3785 Å, b = 8.3785 Å, c = 9.1803 Å
α = 122.61°, β = 122.61°, γ = 31.07°
Positions (direct):
Pm  0.0000  0.0000  0.0000
Pm  0.2961  0.2961  0.2949
Pm  0.7039  0.7039  0.7051
Zn  0.0000  0.0000  0.5000
Zn  0.1370  0.1370  0.4271
Zn  0.3325  0.3325  0.9818
Zn  0.4997  0.4997  0.3186
Zn  0.5003  0.5003  0.6814
Zn  0.6675  0.6675  0.0182
Zn  0.8630  0.8630  0.5729
Au  0.1272  0.1272  0.8442
Au  0.3442  0.3442  0.7083
Au  0.6558  0.6558  0.2917
Au  0.8728  0.8728  0.1558

***

No. 8
The following is a DFT calculation (PBE-GGA) of crystalline Pm3Zn2Au7 at its relaxed geometry.

Properties
DFT total energy = -3.8559 eV/atom

a = 14.7271 Å, b = 14.7271 Å, c = 14.7271 Å
α = 163.39°, β = 163.39°, γ = 23.57°
Positions (direct):
Pm  0.0000  0.0000  0.0000
Pm  0.1735  0.1735  0.0000
Pm  0.8265  0.8265  0.0000
Zn  0.3673  0.3673  0.0000
Zn  0.6327  0.6327  0.0000
Au  0.0804  0.5804  0.5000
Au  0.2778  0.2778  0.0000
Au  0.4196  0.9196  0.5000
Au  0.5000  0.5000  0.0000
Au  0.5804  0.0804  0.5000
Au  0.7222  0.7222  0.0000
Au  0.9196  0.4196  0.5000

***

No. 9
The following is a DFT calculation (PBE-GGA) of crystalline PmZrZnAu at its relaxed geometry.

Properties
DFT total energy = -4.7982 eV/atom

a = 5.0182 Å, b = 5.0182 Å, c = 5.0182 Å
α = 60.00°, β = 60.00°, γ = 60.00°
Positions (direct):
Pm  0.0000  0.0000  0.0000
Zr  0.5000  0.5000  0.5000
Zn  0.7500  0.7500  0.7500
Au  0.2500  0.2500  0.2500

***

No. 10
The following is a DFT calculation (PBE-GGA) of crystalline PmZrAu2 at its relaxed geometry.

Properties
DFT total energy = -5.3825 eV/atom

a = 8.0555 Å, b = 8.0555 Å, c = 8.0555 Å
α = 27.72°, β = 27.72°, γ = 27.72°
Positions (direct):
Pm  0.0000  0.0000  0.0000
Zr  0.5000  0.5000  0.5000
Au  0.2419  0.2419  0.2419
Au  0.7581  0.7581  0.7581

***

No. 11
The following is a DFT calculation (PBE-GGA) of crystalline PmZrAu2 at its relaxed geometry.

Properties
DFT total energy = -5.5544 eV/atom

a = 3.5042 Å, b = 3.5042 Å, c = 7.3462 Å
α = 90.00°, β = 90.00°, γ = 90.00°
Positions (direct):
Pm  0.0000  0.0000  0.0000
Zr  0.0000  0.0000  0.5000
Au  0.5000  0.5000  0.2828
Au  0.5000  0.5000  0.7172

***

No. 12
The following is a DFT calculation (PBE-GGA) of crystalline PmZrAu4 at its relaxed geometry.

Properties
DFT total energy = -5.0626 eV/atom

a = 3.7028 Å, b = 3.7028 Å, c = 9.1062 Å
α = 90.00°, β = 90.00°, γ = 90.00°
Positions (direct):
Pm  0.0000  0.0000  0.0000
Zr  0.5000  0.5000  0.5000
Au  0.0000  0.0000  0.3420
Au  0.0000  0.0000  0.6580
Au  0.5000  0.5000  0.1798
Au  0.5000  0.5000  0.8202

***

No. 13
The following is a DFT calculation (PBE-GGA) of crystalline PmZrAu2 at its relaxed geometry.

Properties
DFT total energy = -5.4896 eV/atom

a = 5.0423 Å, b = 5.0423 Å, c = 5.0423 Å
α = 60.00°, β = 60.00°, γ = 60.00°
Positions (direct):
Pm  0.0000  0.0000  0.0000
Zr  0.5000  0.5000  0.5000
Au  0.2500  0.2500  0.2500
Au  0.7500  0.7500  0.7500

***

No. 14
The following is a DFT calculation (PBE-GGA) of crystalline Pr5Au2 at its relaxed geometry.

Properties
DFT total energy = -4.7796 eV/atom

a = 9.4830 Å, b = 9.4830 Å, c = 7.2788 Å
α = 95.19°, β = 95.19°, γ = 43.58°
Positions (direct):
Pr  0.0600  0.9400  0.7500
Pr  0.1558  0.2900  0.2938
Pr  0.2900  0.1558  0.7938
Pr  0.2949  0.5203  0.0531
Pr  0.4797  0.7051  0.4469
Pr  0.5203  0.2949  0.5531
Pr  0.7051  0.4797  0.9469
Pr  0.7100  0.8442  0.2062
Pr  0.8442  0.7100  0.7062
Pr  0.9400  0.0600  0.2500
Au  0.0899  0.6859  0.4342
Au  0.3141  0.9101  0.0658
Au  0.6859  0.0899  0.9342
Au  0.9101  0.3141  0.5658

***

No. 15
The following is a DFT calculation (PBE-GGA) of crystalline Pr3Au2 at its relaxed geometry.

Properties
DFT total energy = -4.8005 eV/atom

a = 8.4976 Å, b = 8.4976 Å, c = 3.9549 Å
α = 90.00°, β = 90.00°, γ = 90.00°
Positions (direct):
Pr  0.0000  0.0000  0.0000
Pr  0.1649  0.3351  0.5000
Pr  0.3351  0.8351  0.5000
Pr  0.5000  0.5000  0.0000
Pr  0.6649  0.1649  0.5000
Pr  0.8351  0.6649  0.5000
Au  0.1279  0.6279  0.0000
Au  0.3721  0.1279  0.0000
Au  0.6279  0.8721  0.0000
Au  0.8721  0.3721  0.0000

***

No. 16
The following is a DFT calculation (PBE-GGA) of crystalline PrAu2 at its relaxed geometry.

Properties
DFT total energy = -4.2969 eV/atom

a = 5.7763 Å, b = 5.7763 Å, c = 5.7763 Å
α = 60.00°, β = 60.00°, γ = 60.00°
Positions (direct):
Pr  0.1250  0.1250  0.1250
Pr  0.8750  0.8750  0.8750
Au  0.0000  0.5000  0.5000
Au  0.5000  0.0000  0.5000
Au  0.5000  0.5000  0.0000
Au  0.5000  0.5000  0.5000

***

No. 17
The following is a DFT calculation (PBE-GGA) of crystalline PrAu3 at its relaxed geometry.

Properties
DFT total energy = -4.3099 eV/atom

a = 5.7284 Å, b = 5.7284 Å, c = 7.6917 Å
α = 90.00°, β = 90.00°, γ = 134.71°
Positions (direct):
Pr  0.0707  0.9293  0.7500
Pr  0.9293  0.0707  0.2500
Au  0.2240  0.7760  0.2500
Au  0.3743  0.6258  0.5581
Au  0.3743  0.6258  0.9419
Au  0.6258  0.3743  0.0581
Au  0.6258  0.3743  0.4419
Au  0.7760  0.2240  0.7500

***

No. 18
The following is a DFT calculation (PBE-GGA) of crystalline Pr5Au at its relaxed geometry.

Properties
DFT total energy = -4.6422 eV/atom

a = 8.2421 Å, b = 8.2421 Å, c = 5.0293 Å
α = 90.00°, β = 90.00°, γ = 145.90°
Positions (direct):
Pr  0.0000  0.0000  0.0000
Pr  0.1595  0.8405  0.5000
Pr  0.3337  0.6663  0.0000
Pr  0.6663  0.3337  0.0000
Pr  0.8405  0.1595  0.5000
Au  0.5000  0.5000  0.5000

***

No. 19
The following is a DFT calculation (PBE-GGA) of crystalline Pr3Au2 at its relaxed geometry.

Properties
DFT total energy = -4.6979 eV/atom

a = 6.8768 Å, b = 6.8768 Å, c = 6.8768 Å
α = 74.71°, β = 74.71°, γ = 74.71°
Positions (direct):
Pr  0.0317  0.7500  0.4683
Pr  0.2500  0.5317  0.9683
Pr  0.4683  0.0317  0.7500
Pr  0.5317  0.9683  0.2500
Pr  0.7500  0.4683  0.0317
Pr  0.9683  0.2500  0.5317
Au  0.0993  0.0993  0.0993
Au  0.4007  0.4007  0.4007
Au  0.5993  0.5993  0.5993
Au  0.9007  0.9007  0.9007

***

No. 20
The following is a DFT calculation (PBE-GGA) of crystalline Pr13Au2 at its relaxed geometry.

Properties
DFT total energy = -4.7313 eV/atom

a = 6.8311 Å, b = 8.7346 Å, c = 9.7184 Å
α = 63.74°, β = 81.24°, γ = 80.22°
Positions (direct):
Pr  0.0000  0.0000  0.0000
Pr  0.0336  0.2142  0.3357
Pr  0.1847  0.6422  0.3644
Pr  0.2415  0.5839  0.0187
Pr  0.2815  0.3622  0.7804
Pr  0.4391  0.0519  0.1573
Pr  0.4881  0.7661  0.5687
Pr  0.5119  0.2339  0.4313
Pr  0.5609  0.9481  0.8427
Pr  0.7185  0.6378  0.2196
Pr  0.7585  0.4161  0.9813
Pr  0.8153  0.3578  0.6356
Pr  0.9664  0.7858  0.6643
Au  0.1753  0.0610  0.6734
Au  0.8247  0.9390  0.3266

***

No. 21
The following is a DFT calculation (PBE-GGA) of crystalline PrAu3 at its relaxed geometry.

Properties
DFT total energy = -4.1402 eV/atom

a = 4.0082 Å, b = 4.0082 Å, c = 5.8806 Å
α = 90.00°, β = 90.00°, γ = 90.00°
Positions (direct):
Pr  0.0000  0.0000  0.0000
Au  0.0000  0.5000  0.5883
Au  0.5000  0.0000  0.5883
Au  0.5000  0.5000  0.2253

***

No. 22
The following is a DFT calculation (PBE-GGA) of crystalline PrAu4 at its relaxed geometry.

Properties
DFT total energy = -4.0367 eV/atom

a = 4.0756 Å, b = 4.0756 Å, c = 7.2823 Å
α = 106.13°, β = 106.13°, γ = 90.01°
Positions (direct):
Pr  0.0000  0.0000  0.0000
Au  0.2493  0.7507  0.5000
Au  0.3988  0.3988  0.7965
Au  0.6012  0.6012  0.2035
Au  0.7507  0.2493  0.5000

***

No. 23
The following is a DFT calculation (PBE-GGA) of crystalline Pr3Au5 at its relaxed geometry.

Properties
DFT total energy = -4.5778 eV/atom

a = 11.5573 Å, b = 7.9257 Å, c = 9.4521 Å
α = 82.87°, β = 42.88°, γ = 54.25°
Positions (direct):
Pr  0.0000  0.0000  0.0000
Pr  0.2500  0.2500  0.2500
Pr  0.3926  0.6264  0.2714
Pr  0.5403  0.9786  0.6236
Pr  0.6264  0.3926  0.7097
Pr  0.9786  0.5403  0.8574
Au  0.1356  0.5385  0.0366
Au  0.2134  0.9607  0.1144
Au  0.4322  0.8612  0.4522
Au  0.4475  0.4475  0.5525
Au  0.5385  0.1356  0.2893
Au  0.6975  0.6975  0.8025
Au  0.7978  0.9956  0.8178
Au  0.8612  0.4322  0.2544
Au  0.9607  0.2134  0.7115
Au  0.9956  0.7978  0.3888